No. 1
The following is a DFT calculation (GGA-PBE) of a relaxed SrCuSiNi crystal.

Output
Its mass density is 5181 kg/m3. For the energy above the most stable polymorph in this dataset, the calculation gives 6 meV/atom.

Geometry as CIF:
```
data_SrCuSiNi
_chemical_formula_sum 'Sr2 Cu2 Si2 Ni2'
_cell_length_a 4.090
_cell_length_b 4.090
_cell_length_c 10.529
_cell_angle_alpha 90.00
_cell_angle_beta 90.00
_cell_angle_gamma 120.00
_space_group_name_H-M_alt 'P 1'
_space_group_IT_number 1
_space_group_name_Hall 'P 1'
loop_
_atom_site_label
_atom_site_type_symbol
_atom_site_fract_x
_atom_site_fract_y
_atom_site_fract_z
_atom_site_occupancy
Cu1 Cu 0.667 0.333 0.462 1
Cu2 Cu 0.333 0.667 0.538 1
Ni1 Ni 0.667 0.333 0.035 1
Ni2 Ni 0.333 0.667 0.965 1
Si1 Si 0.000 0.000 0.000 1
Si2 Si 0.000 0.000 0.500 1
Sr1 Sr 0.333 0.667 0.244 1
Sr2 Sr 0.667 0.333 0.756 1
```

***

No. 2
The following is a DFT calculation (GGA-PBE) of a relaxed SrCuSiNi crystal.

Output
Its mass density is 5150 kg/m3. For the energy above the most stable polymorph in this dataset, the calculation gives 0 meV/atom.

Geometry as CIF:
```
data_SrCuSiNi
_chemical_formula_sum 'Sr2 Cu2 Si2 Ni2'
_cell_length_a 4.105
_cell_length_b 4.105
_cell_length_c 10.514
_cell_angle_alpha 90.00
_cell_angle_beta 90.00
_cell_angle_gamma 120.00
_space_group_name_H-M_alt 'P 1'
_space_group_IT_number 1
_space_group_name_Hall 'P 1'
loop_
_atom_site_label
_atom_site_type_symbol
_atom_site_fract_x
_atom_site_fract_y
_atom_site_fract_z
_atom_site_occupancy
Cu1 Cu 0.333 0.667 0.039 1
Cu2 Cu 0.667 0.333 0.539 1
Ni1 Ni 0.333 0.667 0.469 1
Ni2 Ni 0.667 0.333 0.969 1
Si1 Si 0.000 0.000 0.490 1
Si2 Si 0.000 0.000 0.990 1
Sr1 Sr 0.667 0.333 0.253 1
Sr2 Sr 0.333 0.667 0.753 1
```

***

No. 3
The following is a DFT calculation (GGA-PBE) of a relaxed Sr2CuSi2Ni3 crystal.

Output
Its mass density is 5172 kg/m3. The value obtained for the final energy is -4.78 eV per atom.

Geometry as CIF:
```
data_Sr2CuSi2Ni3
_chemical_formula_sum 'Sr2 Cu1 Si2 Ni3'
_cell_length_a 4.065
_cell_length_b 4.065
_cell_length_c 10.567
_cell_angle_alpha 90.00
_cell_angle_beta 90.00
_cell_angle_gamma 120.00
_space_group_name_H-M_alt 'P 1'
_space_group_IT_number 1
_space_group_name_Hall 'P 1'
loop_
_atom_site_label
_atom_site_type_symbol
_atom_site_fract_x
_atom_site_fract_y
_atom_site_fract_z
_atom_site_occupancy
Cu1 Cu 0.000 0.000 0.039 1
Ni1 Ni 0.000 0.000 0.465 1
Ni2 Ni 0.333 0.667 0.533 1
Ni3 Ni 0.333 0.667 0.969 1
Si1 Si 0.667 0.333 0.499 1
Si2 Si 0.667 0.333 0.991 1
Sr1 Sr 0.333 0.667 0.255 1
Sr2 Sr 0.000 0.000 0.748 1
```

***

No. 4
The following is a DFT calculation (GGA-PBE) of a relaxed SrCuSiNi crystal.

Output
Its mass density is 5232 kg/m3. For the energy above the most stable polymorph in this dataset, the calculation gives 6 meV/atom.

Geometry as CIF:
```
data_SrCuSiNi
_chemical_formula_sum 'Sr2 Cu2 Si2 Ni2'
_cell_length_a 4.074
_cell_length_b 4.074
_cell_length_c 10.510
_cell_angle_alpha 90.00
_cell_angle_beta 90.00
_cell_angle_gamma 120.00
_space_group_name_H-M_alt 'P 1'
_space_group_IT_number 1
_space_group_name_Hall 'P 1'
loop_
_atom_site_label
_atom_site_type_symbol
_atom_site_fract_x
_atom_site_fract_y
_atom_site_fract_z
_atom_site_occupancy
Cu1 Cu 0.667 0.333 0.289 1
Cu2 Cu 0.667 0.333 0.711 1
Ni1 Ni 0.000 0.000 0.219 1
Ni2 Ni 0.000 0.000 0.781 1
Si1 Si 0.333 0.667 0.241 1
Si2 Si 0.333 0.667 0.759 1
Sr1 Sr 0.667 0.333 0.000 1
Sr2 Sr 0.000 0.000 0.500 1
```

***

No. 5
The following is a DFT calculation (GGA-PBE) of a relaxed CuSiTcNi crystal.

Output
Its mass density is 8348 kg/m3. For the energy above the most stable polymorph in this dataset, the calculation gives 229 meV/atom.

Geometry as CIF:
```
data_CuSiTcNi
_chemical_formula_sum 'Cu1 Si1 Tc1 Ni1'
_cell_length_a 4.118
_cell_length_b 4.118
_cell_length_c 4.118
_cell_angle_alpha 60.00
_cell_angle_beta 60.00
_cell_angle_gamma 60.00
_space_group_name_H-M_alt 'P 1'
_space_group_IT_number 1
_space_group_name_Hall 'P 1'
loop_
_atom_site_label
_atom_site_type_symbol
_atom_site_fract_x
_atom_site_fract_y
_atom_site_fract_z
_atom_site_occupancy
Cu1 Cu 0.750 0.750 0.750 1
Ni1 Ni 0.250 0.250 0.250 1
Si1 Si 0.000 0.000 0.000 1
Tc1 Tc 0.500 0.500 0.500 1
```

***

No. 6
The following is a DFT calculation (GGA-PBE) of a relaxed CuSiTcNi crystal.

Output
Its mass density is 8360 kg/m3. For the energy above the most stable polymorph in this dataset, the calculation gives 0 meV/atom.

Geometry as CIF:
```
data_CuSiTcNi
_chemical_formula_sum 'Cu1 Si1 Tc1 Ni1'
_cell_length_a 4.117
_cell_length_b 4.117
_cell_length_c 4.117
_cell_angle_alpha 60.00
_cell_angle_beta 60.00
_cell_angle_gamma 60.00
_space_group_name_H-M_alt 'P 1'
_space_group_IT_number 1
_space_group_name_Hall 'P 1'
loop_
_atom_site_label
_atom_site_type_symbol
_atom_site_fract_x
_atom_site_fract_y
_atom_site_fract_z
_atom_site_occupancy
Cu1 Cu 0.750 0.750 0.750 1
Ni1 Ni 0.500 0.500 0.500 1
Si1 Si 0.000 0.000 0.000 1
Tc1 Tc 0.250 0.250 0.250 1
```

***

No. 7
The following is a DFT calculation (GGA-PBE) of a relaxed YCuSiNi crystal.

Output
Its mass density is 6190 kg/m3. For the energy above the most stable polymorph in this dataset, the calculation gives 198 meV/atom.

Geometry as CIF:
```
data_YCuSiNi
_chemical_formula_sum 'Y1 Cu1 Si1 Ni1'
_cell_length_a 4.494
_cell_length_b 4.494
_cell_length_c 4.494
_cell_angle_alpha 60.00
_cell_angle_beta 60.00
_cell_angle_gamma 60.00
_space_group_name_H-M_alt 'P 1'
_space_group_IT_number 1
_space_group_name_Hall 'P 1'
loop_
_atom_site_label
_atom_site_type_symbol
_atom_site_fract_x
_atom_site_fract_y
_atom_site_fract_z
_atom_site_occupancy
Cu1 Cu 0.750 0.750 0.750 1
Ni1 Ni 0.500 0.500 0.500 1
Si1 Si 0.000 0.000 0.000 1
Y1 Y 0.250 0.250 0.250 1
```

***

No. 8
The following is a DFT calculation (GGA-PBE) of a relaxed YCuSiNi crystal.

Output
Its mass density is 6491 kg/m3. For the energy above the most stable polymorph in this dataset, the calculation gives 0 meV/atom.

Geometry as CIF:
```
data_YCuSiNi
_chemical_formula_sum 'Y1 Cu1 Si1 Ni1'
_cell_length_a 4.423
_cell_length_b 4.423
_cell_length_c 4.423
_cell_angle_alpha 60.00
_cell_angle_beta 60.00
_cell_angle_gamma 60.00
_space_group_name_H-M_alt 'P 1'
_space_group_IT_number 1
_space_group_name_Hall 'P 1'
loop_
_atom_site_label
_atom_site_type_symbol
_atom_site_fract_x
_atom_site_fract_y
_atom_site_fract_z
_atom_site_occupancy
Cu1 Cu 0.750 0.750 0.750 1
Ni1 Ni 0.250 0.250 0.250 1
Si1 Si 0.500 0.500 0.500 1
Y1 Y 0.000 0.000 0.000 1
```